This record from the Alexandria database describes a relaxed Sr2CdGa2Pd5 crystal. The functional is PBE.

Calculated values
Symmetry: P4/mbm
Energy of formation (eV/f.u.): -6.09
M_tot (μB per cell): 0.00
VASP energy (eV/cell): -84.8
Calculated density (g cm⁻³): 8.1

Cell: 3.7151 10.2964 10.2964 Å, 90.00 90.00 90.00°
Positions (direct):
Pd  0.5000  0.2120  0.0639
Ga  0.0000  0.1191  0.6191
Pd  0.5000  0.5639  0.7120
Pd  0.5000  0.4361  0.2880
Pd  0.5000  0.0000  0.5000
Pd  0.5000  0.0639  0.7880
Sr  0.0000  0.1784  0.3216
Cd  0.0000  0.0000  0.0000
Sr  0.0000  0.3216  0.8216
Cd  0.0000  0.5000  0.5000
Ga  0.0000  0.3809  0.1191
Pd  0.5000  0.7120  0.4361
Sr  0.0000  0.8216  0.6784
Ga  0.0000  0.6191  0.8809
Pd  0.5000  0.5000  0.0000
Pd  0.5000  0.9361  0.2120
Ga  0.0000  0.8809  0.3809
Pd  0.5000  0.7880  0.9361
Sr  0.0000  0.6784  0.1784
Pd  0.5000  0.2880  0.5639

***

This record from the Alexandria database describes a relaxed Mg4H6N crystal. The functional is PBE.

Calculated values
Symmetry: P4_2/nmc
M_tot (μB per cell): 1.97
VASP energy (eV/cell): -72.1
Calculated density (g cm⁻³): 1.8

Cell: 4.7564 6.8182 6.8182 Å, 90.00 90.00 90.00°
Site moments in Bohr magnetons follow the coordinates.
Positions (direct):
N  0.0000  0.5000  0.5000  0.41
H  0.4496  0.5000  0.0000  0.02
H  0.5000  0.2901  0.7099  0.03
H  0.0000  0.2099  0.7901  0.03
Mg  0.2830  0.0000  0.7445  0.00
H  0.5000  0.7099  0.7099  0.03
H  0.0000  0.7901  0.2099  0.03
H  0.0000  0.7901  0.7901  0.03
Mg  0.7170  0.2555  0.0000  0.00
Mg  0.7830  0.7555  0.5000  0.00
H  0.5000  0.7099  0.2901  0.03
H  0.5504  0.0000  0.5000  0.02
Mg  0.7170  0.7445  0.0000  0.00
Mg  0.2170  0.5000  0.2445  0.00
Mg  0.2170  0.5000  0.7555  0.00
Mg  0.7830  0.2445  0.5000  0.00
H  0.5000  0.2901  0.2901  0.03
H  0.0000  0.2099  0.2099  0.03
Mg  0.2830  0.0000  0.2555  0.00
H  0.9496  0.5000  0.0000  0.02
H  0.0504  0.0000  0.5000  0.02
N  0.5000  0.0000  0.0000  0.41

***

This record from the Alexandria database describes a relaxed Cd2CoSb crystal. The functional is PBE.

Calculated values
Symmetry: Cmmm
M_tot (μB per cell): 1.48
VASP energy (eV/cell): -11.5
Formation energy (no corrections) (eV/atom): 0.378
Calculated density (g cm⁻³): 8.2

Cell: 5.1938 5.1938 3.3849 Å, 90.00 90.00 115.77°
Site moments in Bohr magnetons follow the coordinates.
Positions (direct):
Co  0.5000  0.0000  0.5000  1.56
Cd  0.0000  0.0000  0.0000  -0.01
Sb  0.0000  0.5000  0.5000  -0.01
Cd  0.5000  0.5000  0.0000  -0.01

***

This record from the Alexandria database describes a relaxed LiMgIr4 crystal. The functional is PBE.

Calculated values
Symmetry: F-43m
Energy of formation (eV/f.u.): -0.32
M_tot (μB per cell): 0.00
VASP energy (eV/cell): -39.3
Calculated density (g cm⁻³): 13.4

Cell: 5.1924 5.1924 5.1924 Å, 60.00 60.00 60.00°
Positions (direct):
Ir  0.3751  0.8748  0.3751
Li  0.7500  0.7500  0.7500
Ir  0.3751  0.3751  0.8748
Ir  0.8748  0.3751  0.3751
Mg  0.0000  0.0000  0.0000
Ir  0.3751  0.3751  0.3751

***

This record from the Alexandria database describes a relaxed Zr2Al9Pt3 crystal. The functional is PBE.

Calculated values
Symmetry: C2/c
Energy of formation (eV/f.u.): -10.38
M_tot (μB per cell): 0.00
VASP energy (eV/cell): -158.6
Calculated density (g cm⁻³): 7.3

Cell: 7.5715 7.5715 10.2448 Å, 90.13 111.45 120.15°
Positions (direct):
Al  0.6678  0.7052  0.7511
Al  0.7859  0.3117  0.9276
Al  0.2141  0.5209  0.5766
Zr  0.0046  0.4142  0.2504
Pt  0.8283  0.6591  0.9998
Pt  0.1717  0.3409  0.0002
Al  0.1160  0.1417  0.4276
Al  0.3322  0.2948  0.2489
Al  0.8838  0.1338  0.7500
Zr  0.6638  0.7543  0.2496
Al  0.1239  0.9783  0.9305
Al  0.4523  0.8067  0.4305
Zr  0.3362  0.2457  0.7504
Al  0.8761  0.0217  0.0695
Al  0.1162  0.8662  0.2500
Al  0.8840  0.8583  0.5724
Al  0.4443  0.6375  0.9234
Pt  0.1593  0.8285  0.5002
Pt  0.8407  0.1715  0.4998
Al  0.5557  0.3625  0.0766
Pt  0.5000  0.5000  0.5000
Al  0.5477  0.1933  0.5695
Pt  0.5000  0.0000  0.0000
Al  0.2141  0.6883  0.0724
Al  0.7859  0.4791  0.4234
Al  0.4540  0.9167  0.7489
Zr  0.9954  0.5858  0.7496
Al  0.5460  0.0833  0.2511

***

This record from the Alexandria database describes a relaxed NaRe2RuN crystal. The functional is PBE.

Calculated values
Symmetry: P4/mmm
M_tot (μB per cell): 2.86
VASP energy (eV/cell): -27.6
Formation energy (no corrections) (eV/atom): 3.241
Calculated density (g cm⁻³): 10.8

Cell: 4.6351 3.6386 4.6351 Å, 90.00 90.00 90.00°
Site moments in Bohr magnetons follow the coordinates.
Positions (direct):
Re  0.5000  0.0000  0.0000  0.69
N  0.0000  0.5000  0.0000  -0.12
Re  0.0000  0.0000  0.5000  0.79
Ru  0.5000  0.5000  0.5000  1.29
Na  0.0000  0.0000  0.0000  0.01

***

This record from the Alexandria database describes a relaxed TcOsSCl2 crystal. The functional is PBE.

Calculated values
Symmetry: P4/mmm
M_tot (μB per cell): 3.43
VASP energy (eV/cell): -23.4
Formation energy (no corrections) (eV/atom): 1.206
Calculated density (g cm⁻³): 6.0
Distance to the lowest polymorph of the same formula (eV per atom): 0.246

Cell: 4.8729 4.8729 4.5263 Å, 90.00 90.00 90.00°
Site moments in Bohr magnetons follow the coordinates.
Positions (direct):
Cl  0.0000  0.5000  0.0000  0.06
Os  0.5000  0.5000  0.5000  3.38
Cl  0.5000  0.0000  0.0000  0.06
S  0.0000  0.0000  0.5000  0.08
Tc  0.0000  0.0000  0.0000  -0.72

***

This record from the Alexandria database describes a relaxed SmSbIr crystal. The functional is PBE.

Calculated values
Symmetry: Pnma
M_tot (μB per cell): 0.00
VASP energy (eV/cell): -81.4
Formation energy (no corrections) (eV/atom): -0.879
Calculated density (g cm⁻³): 11.5

Cell: 4.5760 7.3249 7.9701 Å, 90.00 90.00 90.00°
Positions (direct):
Sm  0.7500  0.4870  0.8073
Ir  0.2500  0.7949  0.9107
Sm  0.2500  0.0130  0.3073
Sm  0.7500  0.9870  0.6927
Sb  0.7500  0.3225  0.4128
Ir  0.2500  0.2949  0.5893
Sb  0.2500  0.1775  0.9128
Sb  0.2500  0.6775  0.5872
Ir  0.7500  0.7051  0.4107
Sb  0.7500  0.8225  0.0872
Ir  0.7500  0.2051  0.0893
Sm  0.2500  0.5130  0.1927

***

Which of these has the highest M_tot? TcOsSCl2